(1)
! SrRuSCl2 | Alexandria | meta-GGA SCAN | PBEsol geometry; values from VASP
&SYSTEM
  ibrav = 0, nat = 5, ntyp = 4
/
ATOMIC_SPECIES
Ru 101.07 Ru.upf
S 32.06 S.upf
Cl 35.45 Cl.upf
Sr 87.62 Sr.upf
ATOMIC_POSITIONS angstrom
Ru 2.649 2.649 2.818
S 0.000 0.000 2.818
Cl 0.000 2.649 0.000
Cl 2.649 0.000 0.000
Sr 0.000 0.000 0.000
CELL_PARAMETERS angstrom
5.298 0.000 0.000
0.000 5.298 0.000
0.000 0.000 5.636
! * DOS at the Fermi energy: 4.92 states/eV/f.u.
! * total energy: -16.642 eV per atom
! * volume: 158.2 Å³/cell

=====

(2)
! YTlFe | Alexandria | meta-GGA SCAN | PBEsol geometry; values from VASP
&SYSTEM
  ibrav = 0, nat = 3, ntyp = 3
/
ATOMIC_SPECIES
Fe 55.84 Fe.upf
Tl 204.38 Tl.upf
Y 88.91 Y.upf
ATOMIC_POSITIONS angstrom
Fe -0.323 -5.732 -0.490
Tl -0.162 -2.866 -0.245
Y 0.000 0.000 0.000
CELL_PARAMETERS angstrom
-2.023 -3.893 1.700
-1.063 -3.554 -2.894
2.439 -4.017 0.213
! * DOS at the Fermi energy: 5.84 states/eV/f.u.
! * total energy: -39.255 eV per atom
! * energy relative to the elements: 0.1889 eV per atom
! * volume: 73.6 Å³/cell

=====

(3)
! MnMoRh2 | Alexandria | meta-GGA SCAN | PBEsol geometry; values from VASP
&SYSTEM
  ibrav = 0, nat = 4, ntyp = 3
/
ATOMIC_SPECIES
Mo 95.94 Mo.upf
Mn 54.94 Mn.upf
Rh 102.91 Rh.upf
ATOMIC_POSITIONS angstrom
Mo 1.876 0.000 0.000
Mn 1.876 1.879 1.879
Rh 0.000 0.000 1.879
Rh 0.000 1.879 0.000
CELL_PARAMETERS angstrom
3.752 0.000 0.000
0.000 3.758 0.000
0.000 0.000 3.758
! * DOS at the Fermi energy: 3.42 states/eV/f.u.
! * total energy: -30.418 eV per atom
! * energy relative to the elements: -0.2468 eV per atom
! * volume: 53.0 Å³/cell